[1]
This record from Alexandria describes LiLaIn2 after structural relaxation. The functional is PBE.

Output
The calculation puts the formation energy at -28 kJ/mol of formula units. The total energy is -3.151 eV per atom. The calculated density comes out at 5.6 Mg/m³. The density of states at the Fermi level is 0.66 states/eV/atom.

Unit cell a=3.427 b=3.427 c=32.567 alpha=90.00 beta=90.00 gamma=120.00
Fractional positions:
Li1 0.000 0.000 0.000
Li2 0.333 0.667 0.667
Li3 0.667 0.333 0.333
La1 0.000 0.000 0.237
La2 0.333 0.667 0.904
La3 0.667 0.333 0.570
In1 0.000 0.000 0.483
In2 0.000 0.000 0.738
In3 0.333 0.667 0.150
In4 0.333 0.667 0.405
In5 0.667 0.333 0.072
In6 0.667 0.333 0.816

---

[2]
This record from Alexandria describes Li5LaIn7 after structural relaxation. The functional is PBE.

Output
The calculation puts the formation energy at -404 kJ/mol of formula units. The total energy is -2.912 eV per atom. The calculated density comes out at 5.7 Mg/m³. The density of states at the Fermi level is 0.44 states/eV/atom.

Unit cell a=7.544 b=7.544 c=7.544 alpha=134.43 beta=98.81 gamma=98.44
Fractional positions:
Li1 0.000 0.000 0.000
Li2 0.273 0.278 0.505
Li3 0.273 0.768 0.995
Li4 0.773 0.278 0.005
Li5 0.773 0.768 0.495
La1 0.767 0.267 0.500
In1 0.106 0.262 0.843
In2 0.116 0.616 0.500
In3 0.419 0.262 0.157
In4 0.426 0.926 0.500
In5 0.546 0.546 0.000
In6 0.576 0.783 0.793
In7 0.989 0.783 0.207

---

[3]
This record from Alexandria describes LiLaIn4 after structural relaxation. The functional is PBE.

Output
The calculation puts the formation energy at -196 kJ/mol of formula units. The total energy is -3.305 eV per atom. The calculated density comes out at 6.3 Mg/m³. The density of states at the Fermi level is 0.41 states/eV/atom.

Unit cell a=4.805 b=7.494 c=8.857 alpha=90.00 beta=90.00 gamma=90.00
Fractional positions:
Li1 0.000 0.000 0.000
Li2 0.500 0.500 0.500
La1 0.000 0.500 0.000
La2 0.500 0.000 0.500
In1 0.000 0.295 0.336
In2 0.000 0.295 0.664
In3 0.000 0.705 0.336
In4 0.000 0.705 0.664
In5 0.500 0.205 0.164
In6 0.500 0.205 0.836
In7 0.500 0.795 0.164
In8 0.500 0.795 0.836

---

[4]
This record from Alexandria describes LiLaIn2 after structural relaxation. The functional is PBE.

Output
The calculation puts the formation energy at -156 kJ/mol of formula units. The total energy is -3.485 eV per atom. The calculated density comes out at 6.0 Mg/m³. The density of states at the Fermi level is 0.67 states/eV/atom.

Unit cell a=4.033 b=21.131 c=4.849 alpha=90.00 beta=90.00 gamma=90.00
Fractional positions:
Li1 0.000 0.168 0.250
Li2 0.000 0.832 0.750
Li3 0.500 0.332 0.750
Li4 0.500 0.668 0.250
La1 0.000 0.397 0.250
La2 0.000 0.603 0.750
La3 0.500 0.103 0.750
La4 0.500 0.897 0.250
In1 0.000 0.039 0.250
In2 0.000 0.237 0.750
In3 0.000 0.763 0.250
In4 0.000 0.961 0.750
In5 0.500 0.263 0.250
In6 0.500 0.461 0.750
In7 0.500 0.539 0.250
In8 0.500 0.737 0.750

---

[5]
This record from Alexandria describes LiLaIn2 after structural relaxation. The functional is PBE.

Output
The calculation puts the formation energy at -35 kJ/mol of formula units. The total energy is -3.171 eV per atom. The calculated density comes out at 5.2 Mg/m³. The density of states at the Fermi level is 0.71 states/eV/atom.

Unit cell a=5.022 b=5.022 c=19.098 alpha=90.00 beta=90.00 gamma=90.00
Fractional positions:
Li1 0.000 0.000 0.000
Li2 0.000 0.500 0.250
Li3 0.500 0.000 0.750
Li4 0.500 0.500 0.500
La1 0.000 0.000 0.500
La2 0.000 0.500 0.750
La3 0.500 0.000 0.250
La4 0.500 0.500 0.000
In1 0.133 0.250 0.125
In2 0.250 0.633 0.375
In3 0.250 0.867 0.875
In4 0.367 0.250 0.625
In5 0.633 0.750 0.625
In6 0.750 0.133 0.875
In7 0.750 0.367 0.375
In8 0.867 0.750 0.125

---

[6]
This record from Alexandria describes LiLa2In2 after structural relaxation. The functional is PBE.

Output
The calculation puts the formation energy at -190 kJ/mol of formula units. The total energy is -3.843 eV per atom. The calculated density comes out at 5.9 Mg/m³. The density of states at the Fermi level is 0.93 states/eV/atom. The energy above the most stable polymorph in this dataset is 0.000 eV per atom.

Unit cell a=6.153 b=6.153 c=11.641 alpha=114.83 beta=114.83 gamma=47.91
Fractional positions:
Li1 0.146 0.146 0.367
Li2 0.854 0.854 0.633
La1 0.181 0.181 0.674
La2 0.422 0.422 0.099
La3 0.578 0.578 0.901
La4 0.819 0.819 0.326
In1 0.136 0.136 0.118
In2 0.426 0.426 0.573
In3 0.574 0.574 0.427
In4 0.864 0.864 0.882

---

[7]
This record from Alexandria describes LiLa4In after structural relaxation. The functional is PBE.

Output
The calculation puts the formation energy at 114 kJ/mol of formula units. The total energy is -3.863 eV per atom. The calculated density comes out at 5.5 Mg/m³. The density of states at the Fermi level is 1.15 states/eV/atom. The energy above the most stable polymorph in this dataset is 0.332 eV per atom.

Unit cell a=6.598 b=6.598 c=6.598 alpha=60.00 beta=60.00 gamma=60.00
Fractional positions:
Li1 0.000 0.000 0.000
La1 0.378 0.378 0.378
La2 0.378 0.378 0.865
La3 0.378 0.865 0.378
La4 0.865 0.378 0.378
In1 0.750 0.750 0.750

---

[8]
This record from Alexandria describes Li3LaIn3 after structural relaxation. The functional is PBE.

Output
The calculation puts the formation energy at -221 kJ/mol of formula units. The total energy is -3.025 eV per atom. The calculated density comes out at 5.1 Mg/m³. The density of states at the Fermi level is 0.44 states/eV/atom. The energy above the most stable polymorph in this dataset is 0.000 eV per atom.

Unit cell a=7.088 b=4.750 c=10.227 alpha=90.00 beta=106.90 gamma=90.00
Fractional positions:
Li1 0.075 0.250 0.162
Li2 0.198 0.250 0.912
Li3 0.348 0.750 0.323
Li4 0.652 0.250 0.677
Li5 0.802 0.750 0.088
Li6 0.925 0.750 0.838
La1 0.351 0.750 0.707
La2 0.649 0.250 0.293
In1 0.008 0.250 0.628
In2 0.277 0.250 0.449
In3 0.380 0.750 0.052
In4 0.620 0.250 0.948
In5 0.723 0.750 0.551
In6 0.992 0.750 0.372

---

[9]
This record from Alexandria describes Li4LaIn after structural relaxation. The functional is PBE.

Output
The calculation puts the formation energy at -98 kJ/mol of formula units. The total energy is -2.722 eV per atom. The calculated density comes out at 3.7 Mg/m³. The density of states at the Fermi level is 0.28 states/eV/atom.

Unit cell a=5.643 b=5.643 c=5.643 alpha=60.00 beta=60.00 gamma=60.00
Fractional positions:
Li1 0.123 0.123 0.123
Li2 0.123 0.123 0.630
Li3 0.123 0.630 0.123
Li4 0.630 0.123 0.123
La1 0.500 0.500 0.500
In1 0.750 0.750 0.750

---

[10]
This record from Alexandria describes LiLa3In12 after structural relaxation. The functional is PBE.

Output
The calculation puts the formation energy at -605 kJ/mol of formula units. The total energy is -3.490 eV per atom. The calculated density comes out at 7.1 Mg/m³. The density of states at the Fermi level is 0.44 states/eV/atom.

Unit cell a=4.758 b=4.758 c=18.675 alpha=90.00 beta=90.00 gamma=90.00
Fractional positions:
Li1 0.000 0.000 0.000
La1 0.000 0.000 0.240
La2 0.000 0.000 0.500
La3 0.000 0.000 0.760
In1 0.000 0.500 0.111
In2 0.000 0.500 0.371
In3 0.000 0.500 0.629
In4 0.000 0.500 0.889
In5 0.500 0.000 0.111
In6 0.500 0.000 0.371
In7 0.500 0.000 0.629
In8 0.500 0.000 0.889
In9 0.500 0.500 0.000
In10 0.500 0.500 0.248
In11 0.500 0.500 0.500
In12 0.500 0.500 0.752

---

[11]
This record from Alexandria describes LiLaIn2 after structural relaxation. The functional is PBE.

Output
The calculation puts the formation energy at -135 kJ/mol of formula units. The total energy is -3.429 eV per atom. The calculated density comes out at 5.7 Mg/m³. The density of states at the Fermi level is 0.58 states/eV/atom.

Unit cell a=5.039 b=5.039 c=4.316 alpha=90.00 beta=90.00 gamma=90.00
Fractional positions:
Li1 0.000 0.000 0.000
La1 0.500 0.500 0.000
In1 0.000 0.500 0.500
In2 0.500 0.000 0.500

---

[12]
This record from Alexandria describes Li3La2In5 after structural relaxation. The functional is PBE.

Output
The calculation puts the formation energy at -369 kJ/mol of formula units. The total energy is -3.312 eV per atom. The calculated density comes out at 5.9 Mg/m³. The density of states at the Fermi level is 0.50 states/eV/atom.

Unit cell a=9.291 b=9.291 c=9.291 alpha=105.37 beta=89.23 gamma=138.45
Fractional positions:
Li1 0.129 0.610 0.740
Li2 0.250 0.250 0.000
Li3 0.371 0.110 0.481
Li4 0.629 0.890 0.519
Li5 0.750 0.750 0.000
Li6 0.871 0.390 0.260
La1 0.132 0.261 0.392
La2 0.368 0.761 0.129
La3 0.632 0.239 0.871
La4 0.868 0.739 0.608
In1 0.014 0.250 0.764
In2 0.108 0.840 0.949
In3 0.250 0.750 0.500
In4 0.392 0.340 0.732
In5 0.486 0.250 0.236
In6 0.514 0.750 0.764
In7 0.608 0.660 0.268
In8 0.750 0.250 0.500
In9 0.892 0.160 0.051
In10 0.986 0.750 0.236

---

What did the ninth record say?
This record from Alexandria describes Li4LaIn after structural relaxation. The functional is PBE.

Output
The calculation puts the formation energy at -98 kJ/mol of formula units. The total energy is -2.722 eV per atom. The calculated density comes out at 3.7 Mg/m³. The density of states at the Fermi level is 0.28 states/eV/atom.

Unit cell a=5.643 b=5.643 c=5.643 alpha=60.00 beta=60.00 gamma=60.00
Fractional positions:
Li1 0.123 0.123 0.123
Li2 0.123 0.123 0.630
Li3 0.123 0.630 0.123
Li4 0.630 0.123 0.123
La1 0.500 0.500 0.500
In1 0.750 0.750 0.750

---

The lowest calculated density belongs to which entry?
Li4LaIn